The following is a GGA-PBEsol calculation of a relaxed structure of Ba10Li2Bi4O21, from the Alexandria database.

Output
uncorrected energy = -6.14 eV per atom
ΔE_f (raw) = -74.2 eV per formula unit

POSCAR file:
```
Ba10Li2Bi4O21
1.0
-2.848 -0.152 -5.249
-6.709 -12.343 3.999
-10.916 7.779 5.697
Ba Li Bi O
20 4 8 42
direct
0.000 0.998 0.086
0.000 0.087 0.571
0.500 0.164 0.210
0.500 0.180 0.812
0.500 0.253 0.498
0.000 0.239 0.002
0.000 0.318 0.304
0.000 0.342 0.708
0.500 0.393 0.068
0.500 0.497 0.585
0.000 0.498 0.914
0.000 0.587 0.429
0.500 0.664 0.790
0.500 0.680 0.188
0.500 0.753 0.502
0.000 0.739 0.998
0.000 0.818 0.696
0.000 0.842 0.292
0.500 0.893 0.932
0.500 0.997 0.415
0.500 0.109 0.004
0.000 0.379 0.504
0.500 0.609 0.996
0.000 0.879 0.496
0.000 0.029 0.843
0.000 0.086 0.314
0.500 0.411 0.816
0.500 0.463 0.343
0.000 0.529 0.157
0.000 0.586 0.686
0.500 0.911 0.184
0.500 0.963 0.657
0.236 0.042 0.735
0.764 0.042 0.735
0.250 0.999 0.248
0.750 0.999 0.248
0.500 0.007 0.079
0.500 0.086 0.579
0.768 0.092 0.929
0.232 0.092 0.929
0.256 0.163 0.372
0.744 0.163 0.372
0.000 0.163 0.189
0.500 0.228 0.048
0.000 0.261 0.560
0.500 0.357 0.248
0.500 0.332 0.693
0.761 0.334 0.875
0.239 0.334 0.875
0.257 0.404 0.428
0.743 0.404 0.428
0.000 0.397 0.105
0.000 0.485 0.584
0.236 0.542 0.265
0.764 0.542 0.265
0.250 0.499 0.752
0.750 0.499 0.752
0.500 0.507 0.921
0.500 0.586 0.421
0.768 0.592 0.071
0.232 0.592 0.071
0.256 0.663 0.628
0.744 0.663 0.628
0.000 0.663 0.811
0.500 0.728 0.952
0.000 0.761 0.440
0.500 0.857 0.752
0.500 0.832 0.307
0.761 0.834 0.125
0.239 0.834 0.125
0.257 0.904 0.572
0.743 0.904 0.572
0.000 0.897 0.895
0.000 0.985 0.416
```